Below is a relaxed Tb3InBi2 crystal, with properties calculated at the PBE-GGA level.

```
Tb3InBi2
1.0
7.437 0.171 0.294
-1.488 7.645 -0.094
-1.488 -3.872 6.593
Tb In Bi
6 2 4
Cartesian
2.975 -1.851 3.444 Tb
-2.249 3.856 4.374 Tb
2.991 1.972 1.129 Tb
-0.744 3.823 -0.047 Tb
6.710 0.089 2.420 Tb
1.469 1.972 5.664 Tb
0.371 2.826 2.803 In
4.090 1.118 3.991 In
0.371 -0.898 4.965 Bi
4.090 4.843 1.828 Bi
0.371 6.706 0.550 Bi
4.090 -2.761 6.243 Bi
```

Calculated values
Raw total energy ... -56.1 eV per cell
Total moment ... 0.00 Bohr magnetons per cell
Energy relative to the elements ... -0.61 eV/atom